(1)
6
Lattice="3.177 0.000 0.000 -1.572 5.157 0.000 -0.005 -0.346 6.841" Properties=species:S:1:pos:R:3 comment="GGA-PBE NiSbP, optimized geometry" raw_formation_energy_ev_per_fu=-0.3 dos_at_fermi_per_ev_atom=0.34 e_above_lowest_polymorph_ev_per_atom=0.1301 final_energy_ev_per_atom=-5.208 volume_a3_per_atom=18.679 pbc="T T T"
Ni 0.000 0.000 0.000
Ni 0.002 3.095 2.719
Sb 0.007 0.508 2.553
Sb 1.592 3.204 4.838
P 1.584 1.126 6.493
P 1.590 3.184 1.133

---

(2)
5
Lattice="4.873 0.000 0.000 0.000 4.873 0.000 0.000 0.000 5.085" Properties=species:S:1:pos:R:3 comment="GGA-PBE La2YAlH, optimized geometry" dos_at_fermi_per_ev_atom=0.85 e_above_lowest_polymorph_ev_per_atom=0.0000 final_energy_ev_per_atom=-4.966 volume_a3_per_atom=24.153 pbc="T T T"
La 0.000 2.437 0.000
La 2.437 0.000 0.000
Y 0.000 0.000 2.543
Al 2.437 2.437 2.543
H 0.000 0.000 0.000

---

(3)
4
Lattice="3.045 0.000 0.000 0.000 3.045 0.000 0.000 0.000 7.172" Properties=species:S:1:pos:R:3 comment="GGA-PBE ReTeRh2, optimized geometry" raw_formation_energy_ev_per_fu=1.5 dos_at_fermi_per_ev_atom=1.30 final_energy_ev_per_atom=-7.201 volume_a3_per_atom=16.624 pbc="T T T"
Re 0.000 0.000 0.000
Te 1.523 1.523 5.121
Rh 0.000 0.000 3.427
Rh 1.523 1.523 1.478

---

(4)
12
Lattice="8.757 -2.024 0.000 8.757 2.024 0.000 -1.482 0.000 8.255" Properties=species:S:1:pos:R:3 comment="GGA-PBE Na3Np2TlS6, optimized geometry" raw_formation_energy_ev_per_fu=-13.9 dos_at_fermi_per_ev_atom=1.28 final_energy_ev_per_atom=-5.902 volume_a3_per_atom=24.382 pbc="T T T"
Na 0.000 0.000 0.000
Na 5.062 0.000 5.451
Na 10.971 0.000 2.804
Np 5.567 0.000 1.336
Np 10.465 0.000 6.919
Tl -0.741 0.000 4.128
S 2.948 0.000 0.532
S 2.198 0.000 5.189
S 8.081 0.000 1.820
S 7.952 0.000 6.435
S 13.834 0.000 3.067
S 13.084 0.000 7.723